VASP calculation (PBE-GGA) on a geometry-optimized BiSb2TeIr structure.

Summary:
**Energy above the most stable polymorph in this dataset**: 138.4 kJ/mol of atoms
**Final energy**: -3.01 eV/atom
**M_tot**: 1.42 μB per cell

Cell: 5.7086 5.7086 5.7863 Å, 90.00 90.00 90.00°
Closest atoms and distances in Å follow each position.
Space group P4/mmm (No. 123)
Unique sites:
Bi (0.0000, 0.0000, 0.0000) [1 per cell]  4 Sb 2.85, 2 Te 2.89
Sb (0.0000, 0.5000, 0.0000) [2 per cell]  2 Bi 2.85
Te (0.0000, 0.0000, 0.5000) [1 per cell]  2 Bi 2.89
Ir (0.5000, 0.5000, 0.5000) [1 per cell]  4 Te 4.04, 8 Sb 4.06

***

VASP calculation (PBE-GGA) on a geometry-optimized BeAgS2 structure.

Summary:
**Final energy**: -3.77 eV/atom
**M_tot**: 0.00 μB per cell

Cell: 3.9979 3.9979 19.1347 Å, 90.00 90.00 120.00°
Closest atoms and distances in Å follow each position.
Space group R-3m (No. 166, hexagonal axes)
Unique sites:
Be (0.0000, 0.0000, 0.0000) [3 per cell]  2 S 1.89
Ag (0.0000, 0.0000, 0.5000) [3 per cell]  6 S 2.65
S (0.0000, 0.0000, 0.0986) [6 per cell]  1 Be 1.89

***

VASP calculation (PBE-GGA) on a geometry-optimized GaI4F2 structure.

Summary:
**Final energy**: -2.19 eV/atom
**M_tot**: 0.00 μB per cell

Cell: 5.6117 5.6117 15.3018 Å, 90.00 90.00 90.00°
Closest atoms and distances in Å follow each position.
Space group I4/mmm (No. 139)
Unique sites:
Ga (0.0000, 0.0000, 0.0000) [2 per cell]  4 I 2.81
I (0.0000, 0.0000, 0.2060) [4 per cell]  1 F 1.98
I (0.0000, 0.5000, 0.0000) [4 per cell]  2 Ga 2.81
F (0.0000, 0.0000, 0.3351) [4 per cell]  1 I 1.98

***

VASP calculation (PBE-GGA) on a geometry-optimized Pr2ZnPt3 structure.

Summary:
**Calculated formation energy**: -0.918 eV per atom
**Final energy**: -5.74 eV/atom
**M_tot**: 0.00 μB per cell

Cell: 7.6399 8.8200 15.8731 Å, 90.00 90.00 90.00°
Closest atoms and distances in Å follow each position.
Space group Fmmm (No. 69)
Unique sites:
Pr (0.2481, 0.0000, 0.0000) [8 per cell]  10 Pt 3.18-3.38, 2 Zn 3.26
Pr (0.2500, 0.2500, 0.2500) [8 per cell]  8 Pt 3.14-3.25, 4 Zn 3.21
Zn (0.0000, 0.0000, 0.3346) [8 per cell]  3 Pt 2.51-2.52
Pt (0.0000, 0.0000, 0.1761) [8 per cell]  1 Zn 2.52, 2 Pt 2.69
Pt (0.0000, 0.2440, 0.4156) [16 per cell]  1 Zn 2.51, 2 Pt 2.68-2.69

***

VASP calculation (PBE-GGA) on a geometry-optimized Li4Pu2O9 structure.

Summary:
**Final energy**: -7.52 eV/atom
**M_tot**: 8.00 μB per cell

Cell: 9.1116 5.2598 14.8693 Å, 90.00 90.04 90.00°
Closest atoms and distances in Å follow each position.
Space group C2/c (No. 15)
Unique sites:
Li (0.1668, 0.9998, 0.3108) [8 per cell]  6 O 2.07-2.31
Li (0.1668, 0.0008, 0.0119) [8 per cell]  6 O 2.17-2.23
Pu (0.0005, 0.4997, 0.1479) [8 per cell]  4 O 1.93-2.16
O (0.0000, 0.2076, 0.2500) [4 per cell]  2 Li 2.08, 2 Pu 2.16
O (0.0113, 0.1807, 0.9153) [8 per cell]  1 Pu 1.93
O (0.1466, 0.3532, 0.7497) [8 per cell]  2 Li 2.07-2.08, 2 Pu 2.16-2.17
O (0.1535, 0.3222, 0.4153) [8 per cell]  1 Pu 1.93
O (0.1665, 0.3573, 0.0850) [8 per cell]  1 Pu 1.93

***

VASP calculation (PBE-GGA) on a geometry-optimized ZrScSe structure.

Summary:
**Energy above the most stable polymorph in this dataset**: 12.9 kJ/mol of atoms
**Final energy**: -7.00 eV/atom
**M_tot**: 0.00 μB per cell

Cell: 3.6058 3.5494 10.1940 Å, 90.00 90.00 90.00°
Closest atoms and distances in Å follow each position.
Space group Amm2 (No. 38)
Unique sites:
Zr (0.0000, 0.0000, 0.0000) [2 per cell]  3 Se 2.80-2.93
Sc (0.5000, 0.0000, 0.3101) [2 per cell]  4 Se 2.72
Se (0.0000, 0.0000, 0.7127) [2 per cell]  4 Sc 2.72, 3 Zr 2.80-2.93

***

VASP calculation (PBE-GGA) on a geometry-optimized TaIr2OsRu4 structure.

Summary:
**Calculated formation energy**: 0.648 eV per atom
**Final energy**: -9.09 eV/atom
**M_tot**: 0.00 μB per cell

Cell: 5.4020 9.2619 10.2238 Å, 90.00 90.00 90.00°
Closest atoms and distances in Å follow each position.
Space group Imma (No. 74)
Unique sites:
Ta (0.0000, 0.0000, 0.0000) [4 per cell]  6 Ru 2.66-2.70, 2 Ir 2.70
Ir (0.0000, 0.0000, 0.5000) [4 per cell]  6 Ru 2.45-2.67, 2 Ta 2.70
Ir (0.2500, 0.2500, 0.2500) [4 per cell]  6 Ru 2.67-2.68, 2 Ir 2.70
Os (0.2500, 0.2500, 0.7500) [4 per cell]  6 Ru 2.43-2.69, 2 Os 2.70
Ru (0.0000, 0.0014, 0.2602) [8 per cell]  3 Ir 2.45-2.67, 1 Ta 2.66, 2 Os 2.69, 2 Ru 2.71
Ru (0.2437, 0.2500, 0.5122) [8 per cell]  1 Os 2.43, 1 Ru 2.63, 3 Ir 2.67-2.68, 2 Ta 2.70

***

VASP calculation (PBE-GGA) on a geometry-optimized GdHgGe structure.

Summary:
**Calculated formation energy**: -0.487 eV per atom
**Final energy**: -6.82 eV/atom
**M_tot**: 7.11 μB per cell

Cell: 4.4723 4.4723 4.1480 Å, 90.00 90.00 120.00°
Closest atoms and distances in Å follow each position.
Space group P3m1 (No. 156)
Unique sites:
Gd (0.0000, 0.0000, 0.0000) [1 per cell]  3 Ge 3.04, 3 Hg 3.11
Hg (0.6667, 0.3333, 0.4200) [1 per cell]  3 Ge 2.71
Ge (0.3333, 0.6667, 0.6154) [1 per cell]  3 Hg 2.71

***

VASP calculation (PBE-GGA) on a geometry-optimized Bi2RuI structure.

Summary:
**Energy above the most stable polymorph in this dataset**: 43.2 kJ/mol of atoms
**Final energy**: -3.82 eV/atom
**M_tot**: 3.64 μB per cell

Cell: 7.4458 7.4458 7.4458 Å, 90.00 90.00 90.00°
Closest atoms and distances in Å follow each position.
Space group Fm-3m (No. 225)
Unique sites:
Bi (0.2500, 0.2500, 0.2500) [8 per cell]  4 Ru 3.22, 4 I 3.22
Ru (0.0000, 0.0000, 0.0000) [4 per cell]  8 Bi 3.22
I (0.0000, 0.0000, 0.5000) [4 per cell]  8 Bi 3.22

***

VASP calculation (PBE-GGA) on a geometry-optimized AcPm3Rh structure.

Summary:
**Energy above the most stable polymorph in this dataset**: 5.3 kJ/mol of atoms
**Calculated formation energy**: -0.201 eV per atom
**Final energy**: -5.34 eV/atom
**M_tot**: 1.25 μB per cell

Cell: 5.6242 5.6242 5.6242 Å, 90.00 90.00 90.00°
Closest atoms and distances in Å follow each position.
Space group Pm-3m (No. 221)
Unique sites:
Ac (0.0000, 0.0000, 0.0000) [1 per cell]  12 Pm 3.98
Pm (0.0000, 0.5000, 0.5000) [3 per cell]  2 Rh 2.81
Rh (0.5000, 0.5000, 0.5000) [1 per cell]  6 Pm 2.81

***

VASP calculation (PBE-GGA) on a geometry-optimized Cs2Cr2In structure.

Summary:
**Energy above the most stable polymorph in this dataset**: 26.0 kJ/mol of atoms
**Calculated formation energy**: 1.265 eV per atom
**Final energy**: -3.47 eV/atom
**M_tot**: 0.00 μB per cell

Cell: 4.8249 4.8249 15.2652 Å, 90.00 90.00 90.00°
Closest atoms and distances in Å follow each position.
Space group I4/mmm (No. 139)
Unique sites:
Cs (0.0000, 0.5000, 0.2500) [4 per cell]  4 Cs 3.41, 4 Cr 3.82
Cr (0.0000, 0.0000, 0.0561) [4 per cell]  1 Cr 1.71
In (0.0000, 0.0000, 0.5000) [2 per cell]  8 Cr 3.52

***

VASP calculation (PBE-GGA) on a geometry-optimized La3PmHo6Er2 structure.

Summary:
**Calculated formation energy**: 0.022 eV per atom
**Final energy**: -4.65 eV/atom
**M_tot**: 0.00 μB per cell

Cell: 6.2200 10.7726 11.8447 Å, 90.00 100.07 90.00°
Closest atoms and distances in Å follow each position.
Space group C2/m (No. 12)
Unique sites:
La (0.0000, 0.0000, 0.0000) [2 per cell]  6 La 3.59, 6 Ho 3.62-3.63
La (0.0000, 0.3333, 0.0000) [4 per cell]  6 La 3.59, 6 Ho 3.62-3.63
Pm (0.0000, 0.5000, 0.5000) [2 per cell]  6 Ho 3.53, 6 Er 3.59
Ho (0.2473, 0.0000, 0.7449) [4 per cell]  2 Er 3.53, 1 Pm 3.53, 6 Ho 3.59-3.60, 3 La 3.62-3.63
Ho (0.2484, 0.3330, 0.7448) [8 per cell]  2 Er 3.53, 1 Pm 3.53, 6 Ho 3.59-3.60, 3 La 3.62-3.63
Er (0.0000, 0.1668, 0.5000) [4 per cell]  6 Ho 3.53, 3 Pm 3.59, 3 Er 3.59

***

VASP calculation (PBE-GGA) on a geometry-optimized Li3Cd2In structure.

Summary:
**Calculated formation energy**: -0.279 eV per atom
**Final energy**: -2.00 eV/atom
**M_tot**: 0.00 μB per cell

Cell: 3.2238 3.2238 10.7529 Å, 90.00 90.00 90.00°
Closest atoms and distances in Å follow each position.
Space group P4/mmm (No. 123)
Unique sites:
Li (0.0000, 0.0000, 0.0000) [1 per cell]  8 Cd 2.88
Li (0.0000, 0.0000, 0.3288) [2 per cell]  4 Cd 2.89, 4 In 2.93, 4 Li 3.22
Cd (0.5000, 0.5000, 0.1632) [2 per cell]  8 Li 2.88-2.89
In (0.5000, 0.5000, 0.5000) [1 per cell]  8 Li 2.93, 4 In 3.22

***

VASP calculation (PBE-GGA) on a geometry-optimized SrSc2Ru structure.

Summary:
**Energy above the most stable polymorph in this dataset**: 23.9 kJ/mol of atoms
**Calculated formation energy**: 0.046 eV per atom
**Final energy**: -5.86 eV/atom
**M_tot**: 0.00 μB per cell

Cell: 3.5457 4.6820 6.8319 Å, 90.00 104.93 90.00°
Closest atoms and distances in Å follow each position.
Space group Pm (No. 6)
Unique sites:
Sr (0.0000, 0.0000, 0.0000) [1 per cell]  3 Sc 3.43-3.66, 2 Sr 3.55, 4 Ru 3.55
Sc (0.2994, 0.5000, 0.6025) [1 per cell]  2 Ru 2.66
Sc (0.7206, 0.0000, 0.4459) [1 per cell]  2 Ru 2.53
Ru (0.6508, 0.5000, 0.3019) [1 per cell]  4 Sc 2.53-2.66

***

VASP calculation (PBE-GGA) on a geometry-optimized PmPrSc2 structure.

Summary:
**Energy above the most stable polymorph in this dataset**: 0.0 kJ/mol of atoms
**Calculated formation energy**: 0.051 eV per atom
**Final energy**: -5.50 eV/atom
**M_tot**: 0.00 μB per cell

Cell: 3.6023 3.6023 9.0840 Å, 90.00 90.00 90.00°
Closest atoms and distances in Å follow each position.
Space group P4/mmm (No. 123)
Unique sites:
Pm (0.0000, 0.0000, 0.0000) [1 per cell]  8 Sc 3.40, 4 Pm 3.60
Pr (0.0000, 0.0000, 0.5000) [1 per cell]  8 Sc 3.43, 4 Pr 3.60
Sc (0.5000, 0.5000, 0.2477) [2 per cell]  4 Pm 3.40, 4 Pr 3.43, 4 Sc 3.60

***

VASP calculation (PBE-GGA) on a geometry-optimized KRe2Hg2 structure.

Summary:
**Energy above the most stable polymorph in this dataset**: 22.7 kJ/mol of atoms
**Calculated formation energy**: 1.003 eV per atom
**Final energy**: -4.32 eV/atom
**M_tot**: 0.00 μB per cell

Cell: 5.1476 5.1476 9.2108 Å, 90.00 90.00 90.00°
Closest atoms and distances in Å follow each position.
Space group I4/mmm (No. 139)
Unique sites:
K (0.0000, 0.0000, 0.0000) [2 per cell]  8 Hg 3.45, 10 Re 3.51-3.80
Re (0.0000, 0.0000, 0.3807) [4 per cell]  1 Re 2.20
Hg (0.0000, 0.5000, 0.2500) [4 per cell]  4 Re 2.84

***

VASP calculation (PBE-GGA) on a geometry-optimized Ni3RuSe structure.

Summary:
**Final energy**: -5.21 eV/atom
**M_tot**: 3.23 μB per cell

Cell: 4.2884 4.2884 4.2884 Å, 90.00 90.00 90.00°
Closest atoms and distances in Å follow each position.
Space group Pm-3m (No. 221)
Unique sites:
Ni (0.0000, 0.0000, 0.5000) [3 per cell]  2 Se 2.14
Ru (0.5000, 0.5000, 0.5000) [1 per cell]  12 Ni 3.03
Se (0.0000, 0.0000, 0.0000) [1 per cell]  6 Ni 2.14

***

VASP calculation (PBE-GGA) on a geometry-optimized Ac5TbPrSm2 structure.

Summary:
**Calculated formation energy**: 0.149 eV per atom
**Final energy**: -4.23 eV/atom
**M_tot**: 0.00 μB per cell

Cell: 5.9605 21.9573 11.2432 Å, 90.00 90.00 90.00°
Closest atoms and distances in Å follow each position.
Space group Cmc2_1 (No. 36)
Unique sites:
Ac (0.0000, 0.0097, 0.0000) [4 per cell]  2 Pr 3.55, 4 Sm 3.63-3.94
Ac (0.0000, 0.2762, 0.3113) [4 per cell]  1 Pr 3.28, 1 Sm 3.58, 2 Ac 3.63
Ac (0.0000, 0.2965, 0.6927) [4 per cell]  1 Pr 3.55, 3 Ac 3.63-3.92, 2 Tb 3.68, 2 Sm 3.72
Ac (0.0000, 0.3728, 0.0074) [4 per cell]  4 Sm 3.90-3.93, 6 Ac 3.92-4.23, 1 Tb 3.98
Ac (0.0000, 0.4881, 0.7374) [4 per cell]  2 Pr 3.41-3.63, 2 Sm 3.77
Tb (0.0000, 0.1914, 0.0026) [4 per cell]  2 Sm 3.44-3.60, 4 Ac 3.68-3.74, 2 Pr 3.69
Pr (0.0000, 0.4052, 0.4584) [4 per cell]  6 Ac 3.28-3.63
Sm (0.0000, 0.1139, 0.2851) [4 per cell]  9 Ac 3.58-3.94, 1 Tb 3.60
Sm (0.0000, 0.1161, 0.7345) [4 per cell]  1 Tb 3.44, 2 Ac 3.79-3.82

***

VASP calculation (PBE-GGA) on a geometry-optimized TbPrHo5 structure.

Summary:
**Energy above the most stable polymorph in this dataset**: 87.6 kJ/mol of atoms
**Calculated formation energy**: 1.104 eV per atom
**Final energy**: -3.51 eV/atom
**M_tot**: 0.00 μB per cell

Cell: 5.7736 8.6298 11.9074 Å, 90.00 90.00 90.00°
Closest atoms and distances in Å follow each position.
Space group Immm (No. 71)
Unique sites:
Tb (0.0000, 0.0000, 0.0000) [2 per cell]  6 Ho 3.03-3.27
Pr (0.0000, 0.0000, 0.5000) [2 per cell]  6 Ho 2.79-2.92
Ho (0.0000, 0.0000, 0.2548) [4 per cell]  1 Pr 2.92, 1 Tb 3.03
Ho (0.0000, 0.3230, 0.5000) [4 per cell]  1 Pr 2.79, 1 Ho 3.05
Ho (0.0000, 0.5000, 0.0000) [2 per cell]  2 Pr 2.89

***

VASP calculation (PBE-GGA) on a geometry-optimized Sr2MgPbAu6 structure.

Summary:
**Calculated formation energy**: -0.365 eV per atom
**Final energy**: -3.20 eV/atom
**M_tot**: 0.00 μB per cell

Cell: 6.1088 6.2590 9.0883 Å, 71.90 71.27 61.73°
Closest atoms and distances in Å follow each position.
Space group P-1 (No. 2)
Unique sites:
Sr (0.2030, 0.1982, 0.3889) [2 per cell]  9 Au 3.23-3.50
Mg (0.5000, 0.5000, 0.5000) [1 per cell]  6 Au 2.66
Pb (0.0000, 0.0000, 0.0000) [1 per cell]  6 Au 2.88-2.92
Au (0.2509, 0.7329, 0.2649) [2 per cell]  1 Mg 2.66, 1 Pb 2.89
Au (0.2542, 0.2622, 0.7332) [2 per cell]  1 Mg 2.66, 1 Pb 2.92
Au (0.2639, 0.7485, 0.7362) [2 per cell]  1 Mg 2.66, 1 Pb 2.88